# NaDyTcO5

NaDyTcO5 after structural relaxation (GGA-PBE, Alexandria).

Cell and atoms, written as POSCAR:
```
NaDyTcO5
1.0
3.677 -4.838 0.000
3.677 4.838 0.000
-2.929 0.000 7.454
Na Dy Tc O
2 2 2 10
Direct
0.188 0.812 0.750 Na
0.812 0.188 0.250 Na
0.500 0.500 0.000 Dy
0.500 0.500 0.500 Dy
0.165 0.835 0.250 Tc
0.835 0.165 0.750 Tc
0.113 0.217 0.911 O
0.184 0.623 0.373 O
0.217 0.113 0.411 O
0.377 0.816 0.127 O
0.418 0.582 0.750 O
0.582 0.418 0.250 O
0.623 0.184 0.873 O
0.783 0.887 0.589 O
0.816 0.377 0.627 O
0.887 0.783 0.089 O
```

Computed properties:
* theoretical density: 4.55 g cm⁻³
* size of the total moment: 0.1260 μB per atom
* ΔE_f (raw): -2.056 eV per atom
* D(E_F): 3.52 states/eV/cell
* total DFT energy (no corrections): -115.1 eV per cell